Entry 1:
Entry from Alexandria via LeMat-Bulk: a relaxed structure of La4RhAuI2 (PBE).

Summary:
- raw total energy (eV per atom) = -5.1632
- symmetry = No. 10
- raw formation energy (eV/atom) = -0.983
- crystal system = monoclinic

Unit cell a=4.3514 b=7.5346 c=8.5908 alpha=106.91 beta=90.00 gamma=90.00
Closest atoms and distances in Å follow each position.
Positions (direct):
1 La 0.5000 0.7487 0.8088  1 Rh 2.83, 2 Au 3.03
2 La 0.0000 0.2785 0.8095  2 Rh 2.93, 1 Au 3.01
3 La 0.0000 0.7215 0.1905  2 Rh 2.93, 1 Au 3.01
4 La 0.5000 0.2513 0.1912  1 Rh 2.83, 2 Au 3.03
5 Au 0.0000 0.0000 0.0000  6 La 3.01-3.03
6 I 0.0000 0.5000 0.5000  6 La 3.52-3.53
7 I 0.5000 0.0000 0.5000  6 La 3.60-3.68
8 Rh 0.5000 0.5000 0.0000  6 La 2.83-2.93

***

Entry 2:
Entry from Alexandria via LeMat-Bulk: a relaxed structure of Li2PrSc2Sb2 (PBE).

Summary:
- raw total energy (eV per atom) = -4.8236
- symmetry = No. 166
- raw formation energy (eV/atom) = -0.607
- crystal system = trigonal

Unit cell a=4.6757 b=4.6757 c=8.9865 alpha=74.92 beta=74.92 gamma=60.00
Closest atoms and distances in Å follow each position.
Positions (direct):
1 Sc 0.8645 0.8645 0.4066  3 Li 2.92, 4 Sb 3.08-3.09, 3 Sc 3.14
2 Sc 0.1355 0.1355 0.5934  3 Li 2.92, 4 Sb 3.08-3.09, 3 Sc 3.14
3 Li 0.4251 0.4251 0.7247  3 Sb 2.72, 3 Sc 2.92
4 Li 0.5749 0.5749 0.2753  3 Sb 2.72, 3 Sc 2.92
5 Pr 0.0000 0.0000 0.0000  6 Sb 3.36, 2 Sc 3.49, 6 Li 3.59
6 Sb 0.7444 0.7444 0.7667  3 Li 2.72
7 Sb 0.2556 0.2556 0.2333  3 Li 2.72

***

Number 2 is which compound?
Li2PrSc2Sb2

***

The highest raw formation energy belongs to which entry?
Li2PrSc2Sb2

***

Which value of raw formation energy does entry 1 give?
-0.983 eV/atom

***

Among the records above, which one has the highest raw formation energy?
Li2PrSc2Sb2